Run P
The following is a DFT calculation (PBE) of NdZn4Pd after structural relaxation.

Cell and atoms, written as CIF:
```
data_NdZn4Pd
_chemical_formula_sum 'Nd2 Zn8 Pd2'
_cell_length_a 7.888
_cell_length_b 4.037
_cell_length_c 7.052
_cell_angle_alpha 90.00
_cell_angle_beta 90.00
_cell_angle_gamma 90.00
_space_group_name_H-M_alt 'P m m a'
_space_group_IT_number 51
loop_
_space_group_symop_operation_xyz
'x,y,z'
'-x,-y,-z'
'-x+1/2,-y,z'
'x+1/2,y,-z'
'x+1/2,-y,-z'
'-x+1/2,y,z'
'-x,y,-z'
'x,-y,z'
loop_
_atom_site_label
_atom_site_fract_x
_atom_site_fract_y
_atom_site_fract_z
Nd1 0.250 0.000 0.120
Zn1 0.000 0.000 0.500
Zn2 0.049 0.500 0.803
Zn3 0.250 0.500 0.453
Pd1 0.250 0.000 0.711
```

Run Q
The following is a DFT calculation (PBE) of NdZn4Pd after structural relaxation.

Cell and atoms, written as CIF:
```
data_NdZn4Pd
_chemical_formula_sum 'Nd4 Zn16 Pd4'
_cell_length_a 7.491
_cell_length_b 7.491
_cell_length_c 7.491
_cell_angle_alpha 90.00
_cell_angle_beta 90.00
_cell_angle_gamma 90.00
_space_group_name_H-M_alt 'F -4 3 m'
_space_group_IT_number 216
_space_group_name_Hall 'F -4 2 3'
loop_
_atom_site_label
_atom_site_fract_x
_atom_site_fract_y
_atom_site_fract_z
Nd1 0.000 0.000 0.000
Zn1 0.124 0.124 0.624
Pd1 0.250 0.250 0.250
```

The energy of each structure relative to the most stable one, in kJ/mol of atoms, is as follows: run P 0.0; run Q 4.0.

Run P
The following is a DFT calculation (PBE) of Nd3Zn4Pd4 after structural relaxation.

Cell and atoms, written as CIF:
```
data_Nd3Zn4Pd4
_chemical_formula_sum 'Nd6 Zn8 Pd8'
_cell_length_a 4.174
_cell_length_b 7.414
_cell_length_c 14.400
_cell_angle_alpha 90.00
_cell_angle_beta 90.00
_cell_angle_gamma 90.00
_space_group_name_H-M_alt 'I m m m'
_space_group_IT_number 71
_space_group_name_Hall '-I 2 2'
loop_
_atom_site_label
_atom_site_fract_x
_atom_site_fract_y
_atom_site_fract_z
Nd1 0.000 0.000 0.000
Nd2 0.000 0.500 0.129
Zn1 0.000 0.307 0.328
Pd1 0.000 0.000 0.216
Pd2 0.000 0.194 0.500
```

Run Q
The following is a DFT calculation (PBE) of Nd3Zn4Pd4 after structural relaxation.

Cell and atoms, written as CIF:
```
data_Nd3Zn4Pd4
_chemical_formula_sum 'Nd3 Zn4 Pd4'
_cell_length_a 3.878
_cell_length_b 4.363
_cell_length_c 13.839
_cell_angle_alpha 98.82
_cell_angle_beta 98.03
_cell_angle_gamma 90.00
_space_group_name_H-M_alt 'P -1'
_space_group_IT_number 2
loop_
_space_group_symop_operation_xyz
'x,y,z'
'-x,-y,-z'
loop_
_atom_site_label
_atom_site_fract_x
_atom_site_fract_y
_atom_site_fract_z
Nd1 0.000 0.000 0.000
Nd2 0.147 0.641 0.291
Zn1 0.254 0.256 0.508
Zn2 0.401 0.906 0.805
Pd1 0.308 0.811 0.617
Pd2 0.451 0.452 0.899
```

The energy of each structure relative to the most stable one, in kJ/mol of atoms, is as follows: run P 0.0; run Q 3.8.

Run P
The following is a DFT calculation (PBE) of Nd8ZnPd2 after structural relaxation.

Cell and atoms, written as CIF:
```
data_Nd8ZnPd2
_chemical_formula_sum 'Nd16 Zn2 Pd4'
_cell_length_a 8.691
_cell_length_b 13.864
_cell_length_c 5.857
_cell_angle_alpha 90.00
_cell_angle_beta 107.49
_cell_angle_gamma 90.00
_space_group_name_H-M_alt 'C 1 m 1'
_space_group_IT_number 8
loop_
_space_group_symop_operation_xyz
'x,y,z'
'x,-y,z'
'x+1/2,y+1/2,z'
'x+1/2,-y+1/2,z'
loop_
_atom_site_label
_atom_site_fract_x
_atom_site_fract_y
_atom_site_fract_z
Nd1 0.000 0.000 0.000
Nd2 0.089 0.376 0.771
Nd3 0.164 0.124 0.585
Nd4 0.260 0.500 0.372
Nd5 0.371 0.229 0.185
Zn1 0.377 0.000 0.292
Pd1 0.379 0.300 0.689
```

Run Q
The following is a DFT calculation (PBE) of Nd8ZnPd2 after structural relaxation.

Cell and atoms, written as CIF:
```
data_Nd8ZnPd2
_chemical_formula_sum 'Nd16 Zn2 Pd4'
_cell_length_a 18.609
_cell_length_b 5.293
_cell_length_c 6.948
_cell_angle_alpha 90.00
_cell_angle_beta 109.30
_cell_angle_gamma 90.00
_space_group_name_H-M_alt 'C 1 2/m 1'
_space_group_IT_number 12
loop_
_space_group_symop_operation_xyz
'x,y,z'
'-x,-y,-z'
'-x,y,-z'
'x,-y,z'
'x+1/2,y+1/2,z'
'-x+1/2,-y+1/2,-z'
'-x+1/2,y+1/2,-z'
'x+1/2,-y+1/2,z'
loop_
_atom_site_label
_atom_site_fract_x
_atom_site_fract_y
_atom_site_fract_z
Nd1 0.028 0.000 0.285
Nd2 0.093 0.500 0.972
Nd3 0.174 0.500 0.504
Nd4 0.199 0.000 0.837
Zn1 0.000 0.500 0.500
Pd1 0.171 0.000 0.230
```

The energy of each structure relative to the most stable one, in kJ/mol of atoms, is as follows: run P 11.1; run Q 0.0.

Run P
The following is a DFT calculation (PBE) of Nd4ZnPd after structural relaxation.

Cell and atoms, written as CIF:
```
data_Nd4ZnPd
_chemical_formula_sum 'Nd64 Zn16 Pd16'
_cell_length_a 13.978
_cell_length_b 13.978
_cell_length_c 13.978
_cell_angle_alpha 90.00
_cell_angle_beta 90.00
_cell_angle_gamma 90.00
_space_group_name_H-M_alt 'F -4 3 m'
_space_group_IT_number 216
_space_group_name_Hall 'F -4 2 3'
loop_
_atom_site_label
_atom_site_fract_x
_atom_site_fract_y
_atom_site_fract_z
Nd1 0.000 0.000 0.185
Nd2 0.055 0.250 0.750
Nd3 0.107 0.107 0.393
Zn1 0.170 0.170 0.170
Pd1 0.105 0.105 0.605
```

Run Q
The following is a DFT calculation (PBE) of Nd4ZnPd after structural relaxation.

Cell and atoms, written as CIF:
```
data_Nd4ZnPd
_chemical_formula_sum 'Nd16 Zn4 Pd4'
_cell_length_a 9.537
_cell_length_b 9.537
_cell_length_c 9.108
_cell_angle_alpha 90.00
_cell_angle_beta 90.00
_cell_angle_gamma 90.00
_space_group_name_H-M_alt 'I 41 m d'
_space_group_IT_number 109
_space_group_name_Hall 'I 4bw -2'
loop_
_atom_site_label
_atom_site_fract_x
_atom_site_fract_y
_atom_site_fract_z
Nd1 0.000 0.302 0.000
Nd2 0.000 0.304 0.486
Zn1 0.000 0.000 0.491
Pd1 0.000 0.000 0.993
```

The energy of each structure relative to the most stable one, in kJ/mol of atoms, is as follows: run P 0.0; run Q 28.1.

Run P
The following is a DFT calculation (PBE) of Nd2ZnPd4 after structural relaxation.

Cell and atoms, written as CIF:
```
data_Nd2ZnPd4
_chemical_formula_sum 'Nd2 Zn1 Pd4'
_cell_length_a 4.897
_cell_length_b 4.125
_cell_length_c 7.316
_cell_angle_alpha 90.00
_cell_angle_beta 91.19
_cell_angle_gamma 90.00
_space_group_name_H-M_alt 'P 1 2/m 1'
_space_group_IT_number 10
loop_
_space_group_symop_operation_xyz
'x,y,z'
'-x,-y,-z'
'-x,y,-z'
'x,-y,z'
loop_
_atom_site_label
_atom_site_fract_x
_atom_site_fract_y
_atom_site_fract_z
Nd1 0.248 0.000 0.319
Zn1 0.500 0.500 0.000
Pd1 0.241 0.000 0.898
Pd2 0.257 0.500 0.632
```

Run Q
The following is a DFT calculation (PBE) of Nd2ZnPd4 after structural relaxation.

Cell and atoms, written as CIF:
```
data_Nd2ZnPd4
_chemical_formula_sum 'Nd8 Zn4 Pd16'
_cell_length_a 8.080
_cell_length_b 8.797
_cell_length_c 8.849
_cell_angle_alpha 90.00
_cell_angle_beta 90.00
_cell_angle_gamma 90.00
_space_group_name_H-M_alt 'F m m m'
_space_group_IT_number 69
_space_group_name_Hall '-F 2 2'
loop_
_atom_site_label
_atom_site_fract_x
_atom_site_fract_y
_atom_site_fract_z
Nd1 0.250 0.250 0.250
Zn1 0.000 0.000 0.000
Pd1 0.000 0.000 0.282
Pd2 0.000 0.216 0.500
```

The energy of each structure relative to the most stable one, in kJ/mol of atoms, is as follows: run P 0.0; run Q 3.6.

Run P
The following is a DFT calculation (PBE) of Nd2Zn3Pd5 after structural relaxation.

Cell and atoms, written as CIF:
```
data_Nd2Zn3Pd5
_chemical_formula_sum 'Nd8 Zn12 Pd20'
_cell_length_a 4.272
_cell_length_b 25.003
_cell_length_c 6.907
_cell_angle_alpha 90.00
_cell_angle_beta 90.00
_cell_angle_gamma 90.00
_space_group_name_H-M_alt 'C m c 21'
_space_group_IT_number 36
loop_
_space_group_symop_operation_xyz
'x,y,z'
'-x,-y,z+1/2'
'-x,y,z'
'x,-y,z+1/2'
'x+1/2,y+1/2,z'
'-x+1/2,-y+1/2,z+1/2'
'-x+1/2,y+1/2,z'
'x+1/2,-y+1/2,z+1/2'
loop_
_atom_site_label
_atom_site_fract_x
_atom_site_fract_y
_atom_site_fract_z
Nd1 0.000 0.026 0.000
Nd2 0.000 0.324 0.061
Zn1 0.000 0.130 0.222
Zn2 0.000 0.285 0.617
Zn3 0.000 0.455 0.193
Pd1 0.000 0.096 0.607
Pd2 0.000 0.195 0.891
Pd3 0.000 0.229 0.311
Pd4 0.000 0.381 0.462
Pd5 0.000 0.441 0.816
```

Run Q
The following is a DFT calculation (PBE) of Nd2Zn3Pd5 after structural relaxation.

Cell and atoms, written as CIF:
```
data_Nd2Zn3Pd5
_chemical_formula_sum 'Nd8 Zn12 Pd20'
_cell_length_a 9.843
_cell_length_b 13.491
_cell_length_c 5.648
_cell_angle_alpha 90.00
_cell_angle_beta 90.00
_cell_angle_gamma 90.00
_space_group_name_H-M_alt 'I b a m'
_space_group_IT_number 72
_space_group_name_Hall '-I 2 2c'
loop_
_atom_site_label
_atom_site_fract_x
_atom_site_fract_y
_atom_site_fract_z
Nd1 0.238 0.142 0.000
Zn1 0.000 0.500 0.250
Zn2 0.070 0.155 0.500
Pd1 0.000 0.000 0.250
Pd2 0.000 0.306 0.250
Pd3 0.201 0.423 0.000
```

The energy of each structure relative to the most stable one, in kJ/mol of atoms, is as follows: run P 1.5; run Q 0.0.